*w*
# TcC, relaxed, DFT PBE
# Density of states at the Fermi level: 3.123 states/eV/cell
# Volume: 11.68 Å³ per atom
data_TcC
_space_group_name_H-M_alt 'P 63/m m c'
_space_group_IT_number 194
_space_group_name_Hall '-P 6c 2c'
_cell_length_a 3.5081
_cell_length_b 3.5081
_cell_length_c 4.3821
_cell_angle_alpha 90.00
_cell_angle_beta 90.00
_cell_angle_gamma 120.00
loop_
_atom_site_label
_atom_site_fract_x
_atom_site_fract_y
_atom_site_fract_z
Tc1 0.3333 0.6667 0.2500
C1 0.3333 0.6667 0.7500

---

*x*
# TcC, relaxed, DFT PBE
# Density of states at the Fermi level: 5.749 states/eV/cell
# Volume: 12.72 Å³ per atom
data_TcC
_space_group_name_H-M_alt 'P m m n'
_space_group_IT_number 59
_cell_length_a 3.568
_cell_length_b 9.592
_cell_length_c 4.461
_cell_angle_alpha 90.00
_cell_angle_beta 90.00
_cell_angle_gamma 90.00
loop_
_space_group_symop_operation_xyz
'x,y,z'
'-x,-y,-z'
'-x+1/2,-y+1/2,z'
'x+1/2,y+1/2,-z'
'x+1/2,-y,-z'
'-x+1/2,y,z'
'-x,y+1/2,-z'
'x,-y+1/2,z'
loop_
_atom_site_label
_atom_site_fract_x
_atom_site_fract_y
_atom_site_fract_z
Tc1 0.250 0.106 0.004
Tc2 0.250 0.750 0.473
C1 0.250 0.250 0.330
C2 0.250 0.583 0.217

---

*y*
# TcC, relaxed, DFT PBE
# Density of states at the Fermi level: 4.952 states/eV/cell
# Volume: 12.44 Å³ per atom
data_TcC
_space_group_name_H-M_alt 'F -4 3 m'
_space_group_IT_number 216
_space_group_name_Hall 'F -4 2 3'
_cell_length_a 4.634
_cell_length_b 4.634
_cell_length_c 4.634
_cell_angle_alpha 90.00
_cell_angle_beta 90.00
_cell_angle_gamma 90.00
loop_
_atom_site_label
_atom_site_fract_x
_atom_site_fract_y
_atom_site_fract_z
Tc1 0.000 0.000 0.000
C1 0.250 0.250 0.250

---

Most favorable first, least favorable last: *w*, *x*, *y*

---

*w*
# TcC, relaxed, DFT PBE
# Density of states at the Fermi level: 4.285 states/eV/cell
# Volume: 12.20 Å³ per atom
data_TcC
_space_group_name_H-M_alt 'R -3 m'
_space_group_IT_number 166
_space_group_name_Hall '-R 3 2"'
_cell_length_a 3.4040
_cell_length_b 3.4040
_cell_length_c 14.5837
_cell_angle_alpha 90.00
_cell_angle_beta 90.00
_cell_angle_gamma 120.00
loop_
_atom_site_label
_atom_site_fract_x
_atom_site_fract_y
_atom_site_fract_z
Tc1 0.0000 0.0000 0.0983
C1 0.0000 0.0000 0.2520

---

*x*
# TcC, relaxed, DFT PBE
# Density of states at the Fermi level: 0.894 states/eV/cell
# Volume: 10.01 Å³ per atom
data_TcC
_space_group_name_H-M_alt 'P 63/m m c'
_space_group_IT_number 194
_space_group_name_Hall '-P 6c 2c'
_cell_length_a 2.8674
_cell_length_b 2.8674
_cell_length_c 5.6257
_cell_angle_alpha 90.00
_cell_angle_beta 90.00
_cell_angle_gamma 120.00
loop_
_atom_site_label
_atom_site_fract_x
_atom_site_fract_y
_atom_site_fract_z
Tc1 0.0000 0.0000 0.0000
C1 0.3333 0.6667 0.2500

---

Most favorable first, least favorable last: *x*, *w*

---

*w*
# TcC, relaxed, DFT PBE
# Density of states at the Fermi level: 12.893 states/eV/cell
# Volume: 15.68 Å³ per atom
data_TcC
_space_group_name_H-M_alt 'I -4 3 m'
_space_group_IT_number 217
_space_group_name_Hall 'I -4 2 3'
_cell_length_a 6.307
_cell_length_b 6.307
_cell_length_c 6.307
_cell_angle_alpha 90.00
_cell_angle_beta 90.00
_cell_angle_gamma 90.00
loop_
_atom_site_label
_atom_site_fract_x
_atom_site_fract_y
_atom_site_fract_z
Tc1 0.156 0.156 0.844
C1 0.162 0.162 0.162

---

*x*
# TcC, relaxed, DFT PBE
# Density of states at the Fermi level: 4.183 states/eV/cell
# Volume: 12.14 Å³ per atom
data_TcC
_space_group_name_H-M_alt 'P 4/m m m'
_space_group_IT_number 123
_space_group_name_Hall '-P 4 2'
_cell_length_a 4.199
_cell_length_b 4.199
_cell_length_c 4.130
_cell_angle_alpha 90.00
_cell_angle_beta 90.00
_cell_angle_gamma 90.00
loop_
_atom_site_label
_atom_site_fract_x
_atom_site_fract_y
_atom_site_fract_z
Tc1 0.000 0.000 0.000
Tc2 0.000 0.500 0.500
C1 0.000 0.000 0.500
C2 0.000 0.500 0.000

---

*y*
# TcC, relaxed, DFT PBE
# Density of states at the Fermi level: 9.274 states/eV/cell
# Volume: 10.59 Å³ per atom
data_TcC
_space_group_name_H-M_alt 'P 63/m m c'
_space_group_IT_number 194
_space_group_name_Hall '-P 6c 2c'
_cell_length_a 3.1861
_cell_length_b 3.1861
_cell_length_c 9.6339
_cell_angle_alpha 90.00
_cell_angle_beta 90.00
_cell_angle_gamma 120.00
loop_
_atom_site_label
_atom_site_fract_x
_atom_site_fract_y
_atom_site_fract_z
Tc1 0.3333 0.6667 0.1165
C1 0.0000 0.0000 0.2500
C2 0.3333 0.6667 0.7500

---

Most favorable first, least favorable last: *w*, *x*, *y*